Ac12ScPb7: optimized geometry, PBE.

## Properties
Formation enthalpy at 0 K, meV/atom: -288
Space-group type: R-3

The structure in POSCAR format:
```
Ac12ScPb7
1.0
8.171 4.718 3.296
-8.171 4.718 3.296
0.000 -9.435 3.296
Ac Sc Pb
12 1 7
Cartesian
-5.296 2.425 3.166
-2.293 -3.123 3.792
0.548 -5.799 3.166
-4.748 -3.374 6.722
-3.851 0.425 6.096
-1.558 3.547 3.792
1.558 -3.547 6.096
3.851 -0.425 3.792
4.748 3.374 3.166
-0.548 5.799 6.722
2.293 3.123 6.096
5.296 -2.425 6.722
0.000 0.000 4.944
0.000 0.000 0.000
-2.460 0.221 2.910
1.039 -2.241 2.910
1.421 2.020 2.910
-1.421 -2.020 6.978
-1.039 2.241 6.978
2.460 -0.221 6.978
```